{"formula": "Tb2Y5Er3", "functional": "PBE", "state": "optimized geometry", "lattice": [[10.938, 0.000, 0.000], [5.469, 8.181, 0.397], [5.469, 2.554, 7.783]], "species": ["Tb", "Er", "Er", "Er", "Y", "Y", "Y", "Tb", "Y", "Er", "Er", "Y", "Tb", "Y", "Y", "Er", "Tb", "Y", "Y", "Y"], "frac_coords": [[0.380, 0.029, 0.211], [0.250, 0.000, 0.000], [0.626, 0.621, 0.127], [0.126, 0.127, 0.621], [0.373, 0.723, 0.531], [0.003, 0.247, 0.247], [0.750, 0.500, 0.500], [0.120, 0.789, 0.971], [0.127, 0.469, 0.277], [0.750, 0.000, 0.000], [0.874, 0.873, 0.379], [0.873, 0.531, 0.723], [0.880, 0.211, 0.029], [0.627, 0.277, 0.469], [0.250, 0.500, 0.500], [0.374, 0.379, 0.873], [0.620, 0.971, 0.789], [0.997, 0.753, 0.753], [0.503, 0.247, 0.247], [0.497, 0.753, 0.753]], "relative_energy_kj_per_mol_fu": 227, "spacegroup": "Ibam (72)", "formation_energy_ev_per_atom": 0.43, "dos_at_fermi_per_ev_atom": 1.744, "dft_energy_ev_per_atom": -5.099}

---

{"formula": "CeEr5Bi2", "functional": "PBE", "state": "optimized geometry", "lattice": [[4.127, 0.000, 0.000], [-2.064, 6.067, 0.000], [0.000, 0.000, 19.605]], "species": ["Bi", "Er", "Er", "Ce", "Ce", "Er", "Bi", "Er", "Bi", "Er", "Er", "Er", "Er", "Er", "Bi", "Er"], "frac_coords": [[0.760, 0.520, 0.375], [0.600, 0.200, 0.250], [0.400, 0.800, 0.750], [0.330, 0.660, 0.250], [0.670, 0.340, 0.750], [0.045, 0.089, 0.114], [0.240, 0.480, 0.625], [0.365, 0.730, 0.022], [0.760, 0.520, 0.125], [0.955, 0.911, 0.886], [0.635, 0.270, 0.522], [0.955, 0.911, 0.614], [0.045, 0.089, 0.386], [0.365, 0.730, 0.478], [0.240, 0.480, 0.875], [0.635, 0.270, 0.978]], "spacegroup": "Cmcm (63)", "formation_energy_ev_per_atom": -0.31, "dos_at_fermi_per_ev_atom": 1.817, "dft_energy_ev_per_atom": -4.871}